DFT (PBE-GGA) results for an optimized crystal structure of In2FeSb2.

Summary:
Formation energy without anion corrections   220 meV/atom
Mass density   6.867 g/cm³
Space-group type   P4/mbm, No. 127

Cell lengths 6.6999, 6.6999, 5.6992 Å; angles 90.00, 90.00, 90.00 degrees
With the nearest neighbours (Å) after each atom.
Positions (direct):
1 Sb 0.3454 0.8454 0.0000  2 Fe 2.54
2 Sb 0.8454 0.6546 0.0000  2 Fe 2.54
3 Sb 0.6546 0.1546 0.0000  2 Fe 2.54
4 Sb 0.1546 0.3454 0.0000  2 Fe 2.54
5 Fe 0.0000 0.0000 0.0000  4 Sb 2.54
6 Fe 0.5000 0.5000 0.0000  4 Sb 2.54
7 In 0.1814 0.6814 0.5000  2 Sb 3.25, 5 In 3.44-3.47
8 In 0.6814 0.8186 0.5000  2 Sb 3.25, 5 In 3.44-3.47
9 In 0.8186 0.3186 0.5000  2 Sb 3.25, 5 In 3.44-3.47
10 In 0.3186 0.1814 0.5000  2 Sb 3.25, 5 In 3.44-3.47

=====

DFT (PBE-GGA) results for an optimized crystal structure of InFe2Sb.

Summary:
Formation energy without anion corrections   391 meV/atom
Mass density   9.433 g/cm³
E above lowest polymorph   90 kJ/mol of formula units
Space-group type   Fm-3m, No. 225

Cell lengths 4.4259, 4.4259, 4.4259 Å; angles 60.00, 60.00, 60.00 degrees
With the nearest neighbours (Å) after each atom.
Positions (direct):
1 Sb 0.5000 0.5000 0.5000  8 Fe 2.71
2 Fe 0.2500 0.2500 0.2500  4 In 2.71, 4 Sb 2.71
3 Fe 0.7500 0.7500 0.7500  4 In 2.71, 4 Sb 2.71
4 In 0.0000 0.0000 0.0000  8 Fe 2.71

=====

DFT (PBE-GGA) results for an optimized crystal structure of In2Fe2Sb.

Summary:
Formation energy without anion corrections   255 meV/atom
Mass density   7.939 g/cm³
Space-group type   P4/mbm, No. 127

Cell lengths 6.7909, 6.7909, 4.2005 Å; angles 90.00, 90.00, 90.00 degrees
With the nearest neighbours (Å) after each atom.
Positions (direct):
1 Sb 0.0000 0.0000 0.0000  4 Fe 2.68
2 Sb 0.5000 0.5000 0.0000  4 Fe 2.68
3 Fe 0.3748 0.8748 0.0000  1 Fe 2.40, 2 Sb 2.68
4 Fe 0.8748 0.6252 0.0000  1 Fe 2.40, 2 Sb 2.68
5 Fe 0.6252 0.1252 0.0000  1 Fe 2.40, 2 Sb 2.68
6 Fe 0.1252 0.3748 0.0000  1 Fe 2.40, 2 Sb 2.68
7 In 0.1628 0.6628 0.5000  6 Fe 2.88-2.93, 1 In 3.13
8 In 0.6628 0.8372 0.5000  6 Fe 2.88-2.93, 1 In 3.13
9 In 0.8372 0.3372 0.5000  6 Fe 2.88-2.93, 1 In 3.13
10 In 0.3372 0.1628 0.5000  6 Fe 2.88-2.93, 1 In 3.13

=====

DFT (PBE-GGA) results for an optimized crystal structure of InFeSb2Se.

Summary:
Formation energy without anion corrections   1100 meV/atom
Mass density   5.317 g/cm³
Space-group type   P4/mmm, No. 123

Cell lengths 5.5832, 4.9411, 5.5832 Å; angles 90.00, 90.00, 90.00 degrees
With the nearest neighbours (Å) after each atom.
Positions (direct):
1 Sb 0.0000 0.0000 0.5000  2 In 2.79
2 Sb 0.5000 0.0000 0.0000  2 In 2.79
3 Fe 0.0000 0.5000 0.0000  2 In 2.47
4 Se 0.5000 0.5000 0.5000  8 Sb 3.73, 4 Fe 3.95
5 In 0.0000 0.0000 0.0000  2 Fe 2.47

=====

DFT (PBE-GGA) results for an optimized crystal structure of TaInFeSb2.

Summary:
Formation energy without anion corrections   604 meV/atom
Mass density   8.752 g/cm³
Space-group type   P4/mmm, No. 123

Cell lengths 4.7952, 4.9105, 4.7952 Å; angles 90.00, 90.00, 90.00 degrees
With the nearest neighbours (Å) after each atom.
Positions (direct):
1 Sb 0.0000 0.0000 0.5000  2 Fe 2.40
2 Sb 0.5000 0.0000 0.0000  2 Fe 2.40
3 In 0.5000 0.5000 0.5000  4 Ta 3.39, 8 Sb 3.43
4 Fe 0.0000 0.0000 0.0000  4 Sb 2.40, 2 Ta 2.46
5 Ta 0.0000 0.5000 0.0000  2 Fe 2.46

=====

DFT (PBE-GGA) results for an optimized crystal structure of InFeSb2Te.

Summary:
Formation energy without anion corrections   1261 meV/atom
Mass density   5.119 g/cm³
E above lowest polymorph   452 kJ/mol of formula units
Space-group type   P4/mmm, No. 123

Cell lengths 5.5561, 5.5561, 5.6928 Å; angles 90.00, 90.00, 90.00 degrees
With the nearest neighbours (Å) after each atom.
Positions (direct):
1 Sb 0.0000 0.5000 0.0000  2 In 2.78
2 Sb 0.5000 0.0000 0.0000  2 In 2.78
3 Te 0.0000 0.0000 0.5000  2 In 2.85
4 Fe 0.5000 0.5000 0.5000  4 Te 3.93, 8 Sb 3.98
5 In 0.0000 0.0000 0.0000  4 Sb 2.78, 2 Te 2.85

=====

DFT (PBE-GGA) results for an optimized crystal structure of InFeSb2Te.

Summary:
Formation energy without anion corrections   324 meV/atom
Mass density   7.168 g/cm³
E above lowest polymorph   0 kJ/mol of formula units
Space-group type   P4/mmm, No. 123

Cell lengths 4.7550, 4.7550, 5.5509 Å; angles 90.00, 90.00, 90.00 degrees
With the nearest neighbours (Å) after each atom.
Positions (direct):
1 Sb 0.0000 0.5000 0.0000  2 Fe 2.38
2 Sb 0.5000 0.0000 0.0000  2 Fe 2.38
3 Te 0.0000 0.0000 0.5000  2 Fe 2.78
4 Fe 0.0000 0.0000 0.0000  4 Sb 2.38
5 In 0.5000 0.5000 0.5000  4 Te 3.36, 8 Sb 3.65

=====

DFT (PBE-GGA) results for an optimized crystal structure of InFeSbTe2.

Summary:
Formation energy without anion corrections   272 meV/atom
Mass density   6.413 g/cm³
E above lowest polymorph   0 kJ/mol of formula units
Space-group type   P4/mmm, No. 123

Cell lengths 5.3377, 5.3377, 4.9771 Å; angles 90.00, 90.00, 90.00 degrees
With the nearest neighbours (Å) after each atom.
Positions (direct):
1 Sb 0.0000 0.0000 0.5000  2 Fe 2.49
2 Te 0.0000 0.5000 0.0000  2 Fe 2.67
3 Te 0.5000 0.0000 0.0000  2 Fe 2.67
4 Fe 0.0000 0.0000 0.0000  2 Sb 2.49, 4 Te 2.67
5 In 0.5000 0.5000 0.5000  8 Te 3.65, 4 Sb 3.77

=====

DFT (PBE-GGA) results for an optimized crystal structure of YInFeSb2.

Summary:
Formation energy without anion corrections   62 meV/atom
Mass density   6.732 g/cm³
Space-group type   P4/mmm, No. 123

Cell lengths 5.0191, 4.9262, 5.0191 Å; angles 90.00, 90.00, 90.00 degrees
With the nearest neighbours (Å) after each atom.
Positions (direct):
1 Y 0.5000 0.5000 0.5000  8 Sb 3.52, 4 In 3.55
2 Sb 0.0000 0.0000 0.5000  2 Fe 2.51
3 Sb 0.5000 0.0000 0.0000  2 Fe 2.51
4 Fe 0.0000 0.0000 0.0000  2 In 2.46, 4 Sb 2.51
5 In 0.0000 0.5000 0.0000  2 Fe 2.46

=====

DFT (PBE-GGA) results for an optimized crystal structure of Sc12InFe6.

Summary:
Mass density   4.458 g/cm³
Formation energy from the elements   -0.1392 eV/atom
Space-group type   Im-3, No. 204

Cell lengths 7.8227, 7.8227, 7.8227 Å; angles 109.47, 109.47, 109.47 degrees
With the nearest neighbours (Å) after each atom.
Positions (direct):
1 Sc 0.2948 0.0993 0.8045  3 Fe 2.51-2.77
2 Sc 0.2948 0.4902 0.1955  3 Fe 2.51-2.77
3 Sc 0.7052 0.5098 0.8045  3 Fe 2.51-2.77
4 Sc 0.7052 0.9007 0.1955  3 Fe 2.51-2.77
5 Sc 0.0993 0.8045 0.2948  3 Fe 2.51-2.77
6 Sc 0.4902 0.1955 0.2948  3 Fe 2.51-2.77
7 Sc 0.5098 0.8045 0.7052  3 Fe 2.51-2.77
8 Sc 0.9007 0.1955 0.7052  3 Fe 2.51-2.77
9 Sc 0.8045 0.2948 0.0993  3 Fe 2.51-2.77
10 Sc 0.1955 0.2948 0.4902  3 Fe 2.51-2.77
11 Sc 0.8045 0.7052 0.5098  3 Fe 2.51-2.77
12 Sc 0.1955 0.7052 0.9007  3 Fe 2.51-2.77
13 In 0.0000 0.0000 0.0000  12 Sc 3.19
14 Fe 0.3826 0.5000 0.8826  1 Fe 2.12
15 Fe 0.6174 0.5000 0.1174  1 Fe 2.12
16 Fe 0.5000 0.8826 0.3826  1 Fe 2.12
17 Fe 0.5000 0.1174 0.6174  1 Fe 2.12
18 Fe 0.8826 0.3826 0.5000  1 Fe 2.12
19 Fe 0.1174 0.6174 0.5000  1 Fe 2.12

=====

DFT (PBE-GGA) results for an optimized crystal structure of Sc2InFe.

Summary:
Mass density   5.365 g/cm³
Formation energy from the elements   -0.0800 eV/atom
Space-group type   R-3m, No. 166

Cell lengths 8.9697, 8.9697, 8.9697 Å; angles 20.93, 20.93, 20.93 degrees
With the nearest neighbours (Å) after each atom.
Positions (direct):
1 Fe 0.2500 0.2500 0.2500  6 Sc 2.62
2 In 0.7500 0.7500 0.7500  6 Sc 3.18, 6 In 3.26
3 Sc 0.9858 0.9858 0.9858  3 Fe 2.62
4 Sc 0.5142 0.5142 0.5142  3 Fe 2.62

=====

DFT (PBE-GGA) results for an optimized crystal structure of ScIn2Fe2.

Summary:
Mass density   7.214 g/cm³
Formation energy from the elements   0.0937 eV/atom
E above lowest polymorph   0 kJ/mol of formula units
Space-group type   P4/mbm, No. 127

Cell lengths 7.0905, 7.0905, 3.5372 Å; angles 90.00, 90.00, 90.00 degrees
With the nearest neighbours (Å) after each atom.
Positions (direct):
1 Sc 0.0000 0.0000 0.0000  4 Fe 2.83, 8 In 3.16
2 Sc 0.5000 0.5000 0.0000  4 Fe 2.83, 8 In 3.16
3 Fe 0.3814 0.8814 0.0000  1 Fe 2.38
4 Fe 0.8814 0.6186 0.0000  1 Fe 2.38
5 Fe 0.6186 0.1186 0.0000  1 Fe 2.38
6 Fe 0.1186 0.3814 0.0000  1 Fe 2.38
7 In 0.1739 0.6739 0.5000  6 Fe 2.73-2.75
8 In 0.6739 0.8261 0.5000  6 Fe 2.73-2.75
9 In 0.8261 0.3261 0.5000  6 Fe 2.73-2.75
10 In 0.3261 0.1739 0.5000  6 Fe 2.73-2.75

=====

DFT (PBE-GGA) results for an optimized crystal structure of Sc5InFe.

Summary:
Mass density   4.099 g/cm³
Formation energy from the elements   0.0580 eV/atom
Space-group type   P4/mmm, No. 123

Cell lengths 4.7736, 4.7736, 7.0299 Å; angles 90.00, 90.00, 90.01 degrees
With the nearest neighbours (Å) after each atom.
Positions (direct):
1 Sc 0.5000 0.0000 0.2572  2 Fe 2.93, 2 Sc 2.93, 2 In 2.99
2 Sc 0.0000 0.5000 0.2572  2 Fe 2.93, 2 Sc 2.93, 2 In 2.99
3 Sc 0.0000 0.0000 0.5000  8 Sc 2.93
4 Sc 0.0000 0.5000 0.7428  2 Fe 2.93, 2 Sc 2.93, 2 In 2.99
5 Sc 0.5000 0.0000 0.7428  2 Fe 2.93, 2 Sc 2.93, 2 In 2.99
6 In 0.0000 0.0000 0.0000  8 Sc 2.99
7 Fe 0.5000 0.5000 0.5000  8 Sc 2.93